[1]
First-principles (PBE) data for a relaxed Ba2TlRhN crystal, as listed in Alexandria via LeMat-Bulk.

```
Ba2TlRhN
1.0
6.000 0.000 0.000
0.000 6.000 0.000
0.000 0.000 3.841
Ba Rh N Tl
2 1 1 1
direct
0.000 0.500 0.000
0.500 0.000 0.000
0.000 0.000 0.500
0.000 0.000 0.000
0.500 0.500 0.500
```

[2]
First-principles (PBE) data for a relaxed BaURhN3 crystal, as listed in Alexandria via LeMat-Bulk.

```
BaURhN3
1.0
-1.169 3.344 1.125
-6.141 -0.142 -5.960
-2.825 -2.928 5.767
N Ba U Rh
6 2 2 2
direct
0.750 0.489 0.163
0.250 0.511 0.837
0.250 0.834 0.430
0.250 0.215 0.918
0.750 0.166 0.570
0.750 0.785 0.082
0.250 0.269 0.315
0.750 0.731 0.685
0.750 0.332 0.863
0.250 0.668 0.137
0.250 0.064 0.633
0.750 0.936 0.367
```

[3]
First-principles (PBE) data for a relaxed Ba2ZnRhN crystal, as listed in Alexandria via LeMat-Bulk.

```
Ba2ZnRhN
1.0
4.321 0.000 0.000
0.000 7.110 -0.187
0.000 -3.280 8.950
Ba Zn N Rh
4 2 2 2
direct
0.250 0.217 0.969
0.750 0.787 0.621
0.750 0.783 0.031
0.250 0.213 0.379
0.750 0.327 0.701
0.250 0.673 0.299
0.250 0.804 0.829
0.750 0.196 0.171
0.250 0.513 0.748
0.750 0.487 0.252
```

[4]
First-principles (PBE) data for a relaxed Ba2ZnRhN crystal, as listed in Alexandria via LeMat-Bulk.

```
Ba2ZnRhN
1.0
-1.717 -5.551 -0.450
2.124 -1.088 5.317
-3.394 0.925 1.545
N Zn Ba Rh
1 1 2 1
direct
0.000 0.000 0.000
0.500 0.500 0.500
0.500 0.000 0.000
0.000 0.500 0.000
0.000 0.000 0.500
```

Number 1: E_form (uncorrected) -0.381 eV/atom, magnetization 0.00 μB per formula unit. Number 2: E_form (uncorrected) -0.710 eV/atom, magnetization 0.00 μB per formula unit. Number 3: E_form (uncorrected) -0.350 eV/atom, magnetization 0.00 μB per formula unit. Number 4: E_form (uncorrected) -0.360 eV/atom, magnetization 0.00 μB per formula unit.